First-principles (PBE-GGA) data for crystalline PuNO at its relaxed geometry, as listed in Alexandria.

Cell lengths 3.654, 3.654, 6.142 Å; angles 91.16, 91.16, 70.83 degrees
Fractional coordinates of all 6 atoms:
O  0.312  0.312  0.633
O  0.688  0.688  0.367
Pu  0.684  0.684  0.750
Pu  0.316  0.316  0.250
N  0.160  0.840  0.000
N  0.840  0.160  0.000

Calculated values
total energy	-11.1037	eV/atom
density of states at the Fermi level	10.7	states/eV/cell

First-principles (PBE-GGA) data for crystalline Sr3Pu2N4O2 at its relaxed geometry, as listed in Alexandria.

Cell lengths 4.274, 4.274, 10.762 Å; angles 101.45, 101.45, 90.00 degrees
Fractional coordinates of all 11 atoms:
O  0.300  0.300  0.600
O  0.700  0.700  0.400
Sr  0.817  0.817  0.634
Sr  0.000  0.000  0.000
Sr  0.183  0.183  0.366
N  0.089  0.589  0.179
N  0.589  0.089  0.179
N  0.411  0.911  0.821
N  0.911  0.411  0.821
Pu  0.597  0.597  0.194
Pu  0.403  0.403  0.806

Calculated values
total energy	-8.5404	eV/atom
density of states at the Fermi level	7.9	states/eV/cell